Below is crystalline In4Ga3 at its relaxed geometry, with properties calculated at the PBE level.

Results
The total energy is -19.83 eV per cell. The calculation puts the formation energy at 0.66 kcal/mol of atoms.

a = 3.3384 Å, b = 3.3384 Å, c = 15.0165 Å
α = 96.38°, β = 96.38°, γ = 90.00°
With the nearest neighbours (Å) after each atom.
Atoms (fractional coordinates):
In 0.1513 0.1513 0.3027  4 Ga 3.16, 8 In 3.34-3.41
Ga 0.2777 0.2777 0.5553  4 Ga 2.87, 4 In 3.16
Ga 0.7223 0.7223 0.4447  4 Ga 2.87, 4 In 3.16
In 0.5685 0.5685 0.1370  4 Ga 3.11, 8 In 3.34-3.41
Ga 0.0000 0.0000 0.0000  8 In 3.11, 4 Ga 3.34
In 0.8487 0.8487 0.6973  4 Ga 3.16, 8 In 3.34-3.41
In 0.4315 0.4315 0.8630  4 Ga 3.11, 8 In 3.34-3.41

***

Below is crystalline Y2MnGa2Ru5 at its relaxed geometry, with properties calculated at the PBE level.

Results
The total energy is -153.38 eV per cell. The calculation puts the formation energy at -4.98 kcal/mol of atoms.

a = 3.3373 Å, b = 9.9776 Å, c = 9.9776 Å
α = 90.00°, β = 90.00°, γ = 90.00°
With the nearest neighbours (Å) after each atom.
Atoms (fractional coordinates):
Y 0.0000 0.8293 0.6707  3 Ga 2.81-3.03, 2 Ru 2.93
Ru 0.5000 0.9384 0.1914  2 Ga 2.53, 2 Mn 2.61, 2 Ru 2.84
Ga 0.0000 0.8698 0.3698  6 Ru 2.48-2.53
Ru 0.5000 0.5000 0.0000  4 Ga 2.48
Ru 0.5000 0.5616 0.6914  2 Ga 2.53, 2 Mn 2.61, 2 Ru 2.84
Ru 0.5000 0.3086 0.5616  2 Ga 2.53, 2 Mn 2.61, 2 Ru 2.84
Ru 0.5000 0.0000 0.5000  4 Ga 2.48
Y 0.0000 0.1707 0.3293  3 Ga 2.81-3.03, 2 Ru 2.93
Ru 0.5000 0.6914 0.4384  2 Ga 2.53, 2 Mn 2.61, 2 Ru 2.84
Ga 0.0000 0.1302 0.6302  6 Ru 2.48-2.53
Ru 0.5000 0.0616 0.8086  2 Ga 2.53, 2 Mn 2.61, 2 Ru 2.84
Y 0.0000 0.6707 0.1707  3 Ga 2.81-3.03, 2 Ru 2.93
Mn 0.0000 0.5000 0.5000  8 Ru 2.61
Ru 0.5000 0.1914 0.0616  2 Ga 2.53, 2 Mn 2.61, 2 Ru 2.84
Ga 0.0000 0.6302 0.8698  6 Ru 2.48-2.53
Ga 0.0000 0.3698 0.1302  6 Ru 2.48-2.53
Ru 0.5000 0.8086 0.9384  2 Ga 2.53, 2 Mn 2.61, 2 Ru 2.84
Y 0.0000 0.3293 0.8293  3 Ga 2.81-3.03, 2 Ru 2.93
Ru 0.5000 0.4384 0.3086  2 Ga 2.53, 2 Mn 2.61, 2 Ru 2.84
Mn 0.0000 0.0000 0.0000  8 Ru 2.61

***

Below is crystalline Os2RhAu at its relaxed geometry, with properties calculated at the PBE level.

Results
The total energy is -32.19 eV per cell. The calculation puts the formation energy at 5.18 kcal/mol of atoms.

a = 2.7909 Å, b = 2.7909 Å, c = 7.8343 Å
α = 90.00°, β = 90.00°, γ = 90.00°
With the nearest neighbours (Å) after each atom.
Atoms (fractional coordinates):
Os 0.5000 0.5000 0.2418  8 Os 2.61-2.79, 4 Rh 2.74
Rh 0.0000 0.0000 0.4839  4 Os 2.74, 4 Rh 2.79, 4 Au 2.87
Os 0.0000 0.0000 0.0240  8 Os 2.61-2.79, 4 Au 2.91
Au 0.5000 0.5000 0.7503  4 Au 2.79, 4 Rh 2.87, 4 Os 2.91

***

Below is crystalline SrBeRe2 at its relaxed geometry, with properties calculated at the PBE level.

Results
The total energy is -25.93 eV per cell. The calculation puts the formation energy at 25.24 kcal/mol of atoms.

a = 5.6544 Å, b = 5.6544 Å, c = 2.7066 Å
α = 80.44°, β = 80.44°, γ = 122.27°
With the nearest neighbours (Å) after each atom.
Atoms (fractional coordinates):
Be 0.0000 0.5000 0.5000  2 Be 2.71, 2 Sr 2.73, 4 Re 2.92
Re 0.0000 0.0000 0.0000  4 Re 2.71-2.73, 2 Be 2.92, 2 Sr 2.92
Re 0.5000 0.5000 0.0000  4 Re 2.71-2.73, 2 Sr 2.92, 2 Be 2.92
Sr 0.5000 0.0000 0.5000  2 Sr 2.71, 2 Be 2.73, 4 Re 2.92

***

Below is crystalline LiGa3Ag3 at its relaxed geometry, with properties calculated at the PBE level.

Results
The total energy is -40.29 eV per cell. The calculation puts the formation energy at -1.97 kcal/mol of atoms.

a = 7.6242 Å, b = 7.6242 Å, c = 6.8782 Å
α = 56.34°, β = 56.34°, γ = 60.00°
With the nearest neighbours (Å) after each atom.
Atoms (fractional coordinates):
Ag 0.3663 0.0510 0.8567  5 Ga 2.60-2.85, 2 Li 2.69-2.71, 2 Ag 2.87
Li 0.6728 0.6728 0.9816  6 Ag 2.69-2.71
Ag 0.9490 0.2740 0.1433  5 Ga 2.60-2.85, 2 Li 2.69-2.71, 2 Ag 2.87
Ga 0.2170 0.8799 0.3648  5 Ag 2.60-2.85, 2 Ga 2.90
Ga 0.8799 0.5382 0.3648  5 Ag 2.60-2.85, 2 Ga 2.90
Ag 0.7260 0.3663 0.8567  5 Ga 2.60-2.85, 2 Li 2.69-2.71, 2 Ag 2.87
Ga 0.7830 0.1201 0.6352  5 Ag 2.60-2.85, 2 Ga 2.90
Ga 0.4618 0.7830 0.6352  5 Ag 2.60-2.85, 2 Ga 2.90
Ag 0.0510 0.7260 0.8567  5 Ga 2.60-2.85, 2 Li 2.69-2.71, 2 Ag 2.87
Ga 0.5382 0.2170 0.3648  5 Ag 2.60-2.85, 2 Ga 2.90
Ga 0.1201 0.4618 0.6352  5 Ag 2.60-2.85, 2 Ga 2.90
Ag 0.2740 0.6337 0.1433  5 Ga 2.60-2.85, 2 Li 2.69-2.71, 2 Ag 2.87
Li 0.3272 0.3272 0.0184  6 Ag 2.69-2.71
Ag 0.6337 0.9490 0.1433  5 Ga 2.60-2.85, 2 Li 2.69-2.71, 2 Ag 2.87

***

Below is crystalline Pm2HgTe at its relaxed geometry, with properties calculated at the PBE level.

Results
The total energy is -16.27 eV per cell. The formation energy from raw total energies is -0.832 eV per atom.

a = 3.9663 Å, b = 3.9663 Å, c = 7.1655 Å
α = 90.00°, β = 90.00°, γ = 90.00°
With the nearest neighbours (Å) after each atom.
Atoms (fractional coordinates):
Pm 0.0000 0.0000 0.7496  4 Te 3.33, 4 Hg 3.33, 2 Pm 3.58-3.59
Hg 0.5000 0.5000 0.0000  8 Pm 3.33, 2 Te 3.58
Pm 0.0000 0.0000 0.2504  4 Te 3.33, 4 Hg 3.33, 2 Pm 3.58-3.59
Te 0.5000 0.5000 0.5000  8 Pm 3.33, 2 Hg 3.58